The following is a DFT calculation (PBE-GGA) of a relaxed Na2PrSiS4 crystal.

The structure belongs to space group Imma (No. 74); the cell edges are 7.575, 8.207 and 11.245 Å and the angles 90.00°, 90.00° and 90.00°. The inequivalent atoms are Na at (0.000, 0.000, 0.000), Na at (0.250, 0.250, 0.250), Pr at (0.000, 0.000, 0.500), Si at (0.250, 0.250, 0.750), S at (0.000, 0.042, 0.751) and S at (0.248, 0.250, 0.972).

The value obtained for the total energy is -152.72 eV/cell. The density of states at the Fermi level is 0.2071 states/eV/atom. The value obtained for the total magnetization is 0.00 μB per atom.


The following is a DFT calculation (PBE-GGA) of a relaxed Rb2HPbI5 crystal.

The structure belongs to space group Cmc2_1 (No. 36); the cell edges are 4.929, 21.405 and 14.760 Å and the angles 90.00°, 90.00° and 90.00°. The inequivalent atoms are Rb at (0.000, 0.123, 0.000), Rb at (0.000, 0.142, 0.655), H at (0.000, 0.483, 0.706), Pb at (0.000, 0.177, 0.333), I at (0.000, 0.031, 0.349), I at (0.000, 0.305, 0.980), I at (0.000, 0.317, 0.681), I at (0.000, 0.335, 0.331) and I at (0.000, 0.492, 0.100).

The value obtained for the total energy is -97.91 eV/cell. The density of states at the Fermi level is 0.0000 states/eV/atom. The value obtained for the total magnetization is 0.00 μB per atom.


The following is a DFT calculation (PBE-GGA) of a relaxed Rb4Br3N2 crystal.

The structure belongs to space group C2/c (No. 15); the cell edges are 16.456, 9.318 and 8.914 Å and the angles 90.00°, 92.21° and 90.00°. The inequivalent atoms are Rb at (0.049, 0.230, 0.014), Rb at (0.223, 0.427, 0.304), Br at (0.000, 0.487, 0.750), Br at (0.133, 0.103, 0.389) and N at (0.225, 0.288, 0.973).

The value obtained for the total energy is -143.75 eV/cell. The density of states at the Fermi level is 0.1321 states/eV/atom. The value obtained for the total magnetization is 0.11 μB per atom.


The following is a DFT calculation (PBE-GGA) of a relaxed BePt2Rh crystal.

The structure belongs to space group P4/mmm (No. 123); the cell edges are 3.792, 3.792 and 3.845 Å and the angles 90.00°, 90.00° and 90.00°. The inequivalent atoms are Be at (0.000, 0.000, 0.000), Pt at (0.000, 0.500, 0.500) and Rh at (0.500, 0.500, 0.000).

The calculation puts the calculated formation energy at -0.230 eV per atom. The density of states at the Fermi level is 0.7814 states/eV/atom. The value obtained for the total magnetization is 0.00 μB per atom.


The following is a DFT calculation (PBE-GGA) of a relaxed Y2BeCr crystal.

The structure belongs to space group R3m (No. 160, hexagonal axes); the cell edges are 4.0020, 4.0020 and 20.0797 Å and the angles 90.00°, 90.00° and 120.00°. The inequivalent atoms are Y at (0.0000, 0.0000, 0.0000), Y at (0.0000, 0.0000, 0.1840), Be at (0.0000, 0.0000, 0.7597) and Cr at (0.0000, 0.0000, 0.4252).

The calculation puts the calculated formation energy at 0.228 eV per atom. The density of states at the Fermi level is 0.8296 states/eV/atom. The value obtained for the total magnetization is 0.58 μB per atom.


The following is a DFT calculation (PBE-GGA) of a relaxed CrBi3W crystal.

The structure belongs to space group Pm-3m (No. 221); the cell edges are 5.423, 5.423 and 5.423 Å and the angles 90.00°, 90.00° and 90.00°. The inequivalent atoms are Cr at (0.000, 0.000, 0.000), Bi at (0.000, 0.500, 0.500) and W at (0.500, 0.500, 0.500).

The calculation puts the calculated formation energy at 1.132 eV per atom. As for the energy relative to the lowest polymorph listed for this composition: 0.00 eV/f.u. The density of states at the Fermi level is 0.7960 states/eV/atom. The value obtained for the total magnetization is 1.00 μB per atom.


The following is a DFT calculation (PBE-GGA) of a relaxed PmSeI crystal.

The structure belongs to space group P2_1/m (No. 11); the cell edges are 4.391, 5.772 and 10.190 Å and the angles 90.00°, 90.18° and 90.00°. The inequivalent atoms are Pm at (0.249, 0.250, 0.380), Se at (0.249, 0.750, 0.427) and I at (0.252, 0.750, 0.840).

As for the energy relative to the lowest polymorph listed for this composition: 0.00 eV/f.u. The density of states at the Fermi level is 0.0000 states/eV/atom. The value obtained for the total magnetization is 0.00 μB per atom.


The following is a DFT calculation (PBE-GGA) of a relaxed Li2IO crystal.

The structure belongs to space group Pnma (No. 62); the cell edges are 10.499, 5.898 and 5.505 Å and the angles 90.00°, 90.00° and 90.00°. The inequivalent atoms are Li at (0.092, 0.000, 0.129), I at (0.164, 0.250, 0.573) and O at (0.018, 0.250, 0.955).

As for the energy relative to the lowest polymorph listed for this composition: 0.00 eV/f.u. The density of states at the Fermi level is 0.0001 states/eV/atom. The value obtained for the total magnetization is 0.25 μB per atom.


The following is a DFT calculation (PBE-GGA) of a relaxed Pm8Pr6Ho crystal.

The structure belongs to space group P-3 (No. 147); the cell edges are 9.5949, 9.5949 and 6.7043 Å and the angles 90.00°, 90.00° and 120.00°. The inequivalent atoms are Pm at (0.0302, 0.7513, 0.1658), Pm at (0.3333, 0.6667, 0.1142), Pr at (0.0846, 0.6513, 0.6632) and Ho at (0.0000, 0.0000, 0.5000).

The calculation puts the calculated formation energy at 0.159 eV per atom. The density of states at the Fermi level is 1.4572 states/eV/atom. The value obtained for the total magnetization is 0.00 μB per atom.


The following is a DFT calculation (PBE-GGA) of a relaxed Sr3Th crystal.

The structure belongs to space group Fm-3m (No. 225); the cell edges are 8.970, 8.970 and 8.970 Å and the angles 90.00°, 90.00° and 90.00°. The inequivalent atoms are Sr at (0.000, 0.000, 0.000), Sr at (0.250, 0.250, 0.250) and Th at (0.000, 0.000, 0.500).

The calculation puts the calculated formation energy at 0.400 eV per atom. The density of states at the Fermi level is 1.6821 states/eV/atom. The value obtained for the total magnetization is 0.00 μB per atom.


The following is a DFT calculation (PBE-GGA) of a relaxed InCuSb3 crystal.

The structure belongs to space group Pm-3m (No. 221); the cell edges are 5.174, 5.174 and 5.174 Å and the angles 90.00°, 90.00° and 90.00°. The inequivalent atoms are In at (0.000, 0.000, 0.000), Cu at (0.500, 0.500, 0.500) and Sb at (0.000, 0.500, 0.500).

The value obtained for the total energy is -17.27 eV/cell. The density of states at the Fermi level is 1.4142 states/eV/atom. The value obtained for the total magnetization is 0.00 μB per atom.


The following is a DFT calculation (PBE-GGA) of a relaxed NaOsRu2 crystal.

The structure belongs to space group Fm-3m (No. 225); the cell edges are 6.163, 6.163 and 6.163 Å and the angles 90.00°, 90.00° and 90.00°. The inequivalent atoms are Na at (0.000, 0.000, 0.000), Os at (0.000, 0.000, 0.500) and Ru at (0.250, 0.250, 0.250).

The calculation puts the calculated formation energy at 0.739 eV per atom. As for the energy relative to the lowest polymorph listed for this composition: 0.00 eV/f.u. The density of states at the Fermi level is 1.6810 states/eV/atom. The value obtained for the total magnetization is 0.00 μB per atom.


The following is a DFT calculation (PBE-GGA) of a relaxed Mg2In5Bi crystal.

The structure belongs to space group Pbam (No. 55); the cell edges are 6.956, 13.461 and 4.484 Å and the angles 90.00°, 90.00° and 90.00°. The inequivalent atoms are Mg at (0.242, 0.123, 0.000), In at (0.000, 0.500, 0.500), In at (0.025, 0.749, 0.500), In at (0.227, 0.369, 0.000) and Bi at (0.000, 0.000, 0.500).

The calculation puts the calculated formation energy at -0.025 eV per atom. The density of states at the Fermi level is 0.4390 states/eV/atom. The value obtained for the total magnetization is 0.00 μB per atom.


The following is a DFT calculation (PBE-GGA) of a relaxed Pr2HoZr crystal.

The structure belongs to space group Fm-3m (No. 225); the cell edges are 7.873, 7.873 and 7.873 Å and the angles 90.00°, 90.00° and 90.00°. The inequivalent atoms are Pr at (0.250, 0.250, 0.250), Ho at (0.000, 0.000, 0.000) and Zr at (0.000, 0.000, 0.500).

The calculation puts the calculated formation energy at 0.216 eV per atom. As for the energy relative to the lowest polymorph listed for this composition: 0.33 eV/f.u. The density of states at the Fermi level is 1.8690 states/eV/atom. The value obtained for the total magnetization is 0.15 μB per atom.


The following is a DFT calculation (PBE-GGA) of a relaxed Pu2MgO8 crystal.

The structure belongs to space group C2/m (No. 12); the cell edges are 9.453, 6.706 and 4.771 Å and the angles 90.00°, 95.94° and 90.00°. The inequivalent atoms are Pu at (0.140, 0.000, 0.259), Mg at (0.000, 0.500, 0.000), O at (0.070, 0.000, 0.765), O at (0.131, 0.277, 0.240) and O at (0.162, 0.500, 0.749).

The value obtained for the total energy is -189.35 eV/cell. The density of states at the Fermi level is 0.0393 states/eV/atom. The value obtained for the total magnetization is 0.18 μB per atom.


The following is a DFT calculation (PBE-GGA) of a relaxed Be2Tl3 crystal.

The structure belongs to space group P-3m1 (No. 164); the cell edges are 4.1989, 4.1989 and 8.1067 Å and the angles 90.00°, 90.00° and 120.00°. The inequivalent atoms are Be at (0.3333, 0.6667, 0.0062), Tl at (0.0000, 0.0000, 0.0000) and Tl at (0.3333, 0.6667, 0.3511).

The calculation puts the calculated formation energy at 0.443 eV per atom. As for the energy relative to the lowest polymorph listed for this composition: 0.00 eV/f.u. The density of states at the Fermi level is 0.4015 states/eV/atom. The value obtained for the total magnetization is 0.00 μB per atom.


The following is a DFT calculation (PBE-GGA) of a relaxed GeI2N crystal.

The structure belongs to space group I-42d (No. 122); the cell edges are 6.331, 6.331 and 12.061 Å and the angles 90.00°, 90.00° and 90.00°. The inequivalent atoms are Ge at (0.000, 0.000, 0.000), I at (0.115, 0.250, 0.625) and N at (0.000, 0.000, 0.500).

As for the energy relative to the lowest polymorph listed for this composition: 0.00 eV/f.u. The density of states at the Fermi level is 0.7465 states/eV/atom. The value obtained for the total magnetization is 0.00 μB per atom.


The following is a DFT calculation (PBE-GGA) of a relaxed CaHoHg3 crystal.

The structure belongs to space group Cmcm (No. 63); the cell edges are 3.680, 29.202 and 4.897 Å and the angles 90.00°, 90.00° and 90.00°. The inequivalent atoms are Ca at (0.000, 0.077, 0.250), Ho at (0.000, 0.211, 0.750), Hg at (0.000, 0.316, 0.750), Hg at (0.000, 0.376, 0.250) and Hg at (0.000, 0.474, 0.250).

The calculation puts the calculated formation energy at -0.438 eV per atom. The density of states at the Fermi level is 0.7473 states/eV/atom. The value obtained for the total magnetization is 0.00 μB per atom.


The following is a DFT calculation (PBE-GGA) of a relaxed NaP3Pd10 crystal.

The structure belongs to space group Fm-3m (No. 225); the cell edges are 12.127, 12.127 and 12.127 Å and the angles 90.00°, 90.00° and 90.00°. The inequivalent atoms are Na at (0.250, 0.250, 0.250), P at (0.000, 0.000, 0.236), Pd at (0.000, 0.171, 0.329) and Pd at (0.115, 0.115, 0.115).

The calculation puts the calculated formation energy at -0.459 eV per atom. The density of states at the Fermi level is 0.4275 states/eV/atom. The value obtained for the total magnetization is 0.00 μB per atom.


The following is a DFT calculation (PBE-GGA) of a relaxed K2CuRh crystal.

The structure belongs to space group Imm2 (No. 44); the cell edges are 4.284, 5.573 and 9.640 Å and the angles 90.00°, 90.00° and 90.00°. The inequivalent atoms are K at (0.000, 0.000, 0.000), K at (0.000, 0.500, 0.196), Cu at (0.000, 0.500, 0.791) and Rh at (0.000, 0.000, 0.396).

The calculation puts the calculated formation energy at 0.477 eV per atom. As for the energy relative to the lowest polymorph listed for this composition: 0.47 eV/f.u. The density of states at the Fermi level is 1.3240 states/eV/atom. The value obtained for the total magnetization is 0.04 μB per atom.